(1)
The following is a DFT calculation (PBE) of a relaxed structure of Pr3Nd2Mg3.

abc: 3.9107 5.6132 11.9916
angles: 103.54 99.38 90.00
Last column: nearest neighbours and their distance in Å.
Element x y z (fractional)
1 Pr 0.6229 0.6229 0.2457  6 Mg 3.42-3.44, 4 Nd 3.80-3.81
2 Pr 0.3771 0.3771 0.7543  6 Mg 3.42-3.44, 4 Nd 3.80-3.81
3 Pr 0.5000 0.0000 0.0000  8 Mg 3.33-3.42
4 Mg 0.0000 0.5000 0.0000  8 Pr 3.42-3.44
5 Mg 0.1173 0.1173 0.2346  6 Pr 3.33-3.42, 2 Nd 3.34
6 Mg 0.8827 0.8827 0.7654  6 Pr 3.33-3.42, 2 Nd 3.34
7 Nd 0.2648 0.7648 0.5295  2 Mg 3.34, 4 Nd 3.49
8 Nd 0.7352 0.2352 0.4705  2 Mg 3.34, 4 Nd 3.49

The formation energy is -73 meV per atom. The volume comes out at 252.3 Å³/cell. Its crystal system is orthorhombic. As for the total energy: -3.655 eV per atom.

***

(2)
The following is a DFT calculation (PBE) of a relaxed structure of Pr7Nd12Mg.

abc: 10.1398 10.1398 10.1398
angles: 109.47 109.47 109.47
Last column: nearest neighbours and their distance in Å.
Element x y z (fractional)
1 Nd 0.5118 0.7559 0.7559  2 Pr 2.93
2 Nd 0.7559 0.7559 0.5118  2 Pr 2.93
3 Nd 0.2441 0.7559 0.0001  2 Pr 2.93
4 Nd 0.7559 0.2441 0.9999  2 Pr 2.93
5 Nd 0.0001 0.2441 0.7559  2 Pr 2.93
6 Nd 0.2441 0.2441 0.4882  2 Pr 2.93
7 Nd 0.7559 0.5118 0.7559  2 Pr 2.93
8 Nd 0.9999 0.7559 0.2441  2 Pr 2.93
9 Nd 0.2441 0.9999 0.7559  2 Pr 2.93
10 Nd 0.2441 0.4882 0.2441  2 Pr 2.93
11 Nd 0.4882 0.2441 0.2441  2 Pr 2.93
12 Nd 0.7559 0.0001 0.2441  2 Pr 2.93
13 Pr 0.0000 0.5000 0.5000  12 Nd 4.14-4.24
14 Pr 0.5000 0.5000 0.0000  12 Nd 4.14-4.24
15 Pr 0.0000 0.5000 0.0000  6 Nd 2.93
16 Pr 0.0000 0.0000 0.5000  6 Nd 2.93
17 Pr 0.5000 0.0000 0.5000  12 Nd 4.14-4.24
18 Pr 0.5000 0.5000 0.5000  6 Nd 2.93
19 Pr 0.5000 0.0000 0.0000  6 Nd 2.93
20 Mg 0.0000 0.0000 0.0000  12 Nd 4.04

Its energy above the most stable polymorph in this dataset is 0.414 eV per atom. The formation energy is 591 meV per atom. The volume comes out at 802.5 Å³/cell. Its crystal system is cubic. As for the total energy: -4.023 eV per atom.

***

(3)
The following is a DFT calculation (PBE) of a relaxed structure of Pr9Nd4Mg11.

abc: 3.7777 14.3823 14.3823
angles: 110.94 90.00 90.00
Last column: nearest neighbours and their distance in Å.
Element x y z (fractional)
1 Mg 0.0000 0.5889 0.9421  2 Nd 3.33, 6 Pr 3.37-3.40, 1 Mg 3.51
2 Mg 0.0000 0.2323 0.2323  4 Nd 3.36, 4 Pr 3.39
3 Mg 0.0000 0.3596 0.6404  4 Nd 3.40, 4 Pr 3.54, 2 Mg 3.78
4 Mg 0.0000 0.8262 0.1738  8 Pr 3.37-3.40
5 Mg 0.0000 0.0000 0.0000  8 Pr 3.42, 4 Mg 3.78-3.79
6 Mg 0.0000 0.4111 0.0579  2 Nd 3.33, 6 Pr 3.37-3.40, 1 Mg 3.51
7 Mg 0.0000 0.7677 0.7677  4 Nd 3.36, 4 Pr 3.39
8 Mg 0.0000 0.0579 0.4111  2 Nd 3.33, 6 Pr 3.37-3.40, 1 Mg 3.51
9 Mg 0.0000 0.1738 0.8262  8 Pr 3.37-3.40
10 Mg 0.0000 0.9421 0.5889  2 Nd 3.33, 6 Pr 3.37-3.40, 1 Mg 3.51
11 Mg 0.0000 0.6404 0.3596  4 Nd 3.40, 4 Pr 3.54, 2 Mg 3.78
12 Nd 0.5000 0.4328 0.2556  3 Pr 3.30-3.69, 6 Mg 3.33-3.40
13 Nd 0.5000 0.7444 0.5672  3 Pr 3.30-3.69, 6 Mg 3.33-3.40
14 Nd 0.5000 0.5672 0.7444  3 Pr 3.30-3.69, 6 Mg 3.33-3.40
15 Nd 0.5000 0.2556 0.4328  3 Pr 3.30-3.69, 6 Mg 3.33-3.40
16 Pr 0.5000 0.6212 0.1452  8 Mg 3.37-3.54, 1 Nd 3.60
17 Pr 0.5000 0.3788 0.8548  8 Mg 3.37-3.54, 1 Nd 3.60
18 Pr 0.5000 0.8548 0.3788  8 Mg 3.37-3.54, 1 Nd 3.60
19 Pr 0.5000 0.7931 0.9708  8 Mg 3.37-3.42, 1 Nd 3.69
20 Pr 0.5000 0.1452 0.6212  8 Mg 3.37-3.54, 1 Nd 3.60
21 Pr 0.5000 0.2069 0.0292  8 Mg 3.37-3.42, 1 Nd 3.69
22 Pr 0.5000 0.9708 0.7931  8 Mg 3.37-3.42, 1 Nd 3.69
23 Pr 0.5000 0.0292 0.2069  8 Mg 3.37-3.42, 1 Nd 3.69
24 Pr 0.5000 0.5000 0.5000  4 Nd 3.30

The formation energy is -61 meV per atom. The volume comes out at 729.8 Å³/cell. Its crystal system is orthorhombic. As for the total energy: -3.379 eV per atom.

***

(4)
The following is a DFT calculation (PBE) of a relaxed structure of Pr2Nd9Mg.

abc: 5.1537 5.1537 15.5643
angles: 90.00 90.00 90.00
Last column: nearest neighbours and their distance in Å.
Element x y z (fractional)
1 Nd 0.0000 0.5000 0.5000  8 Nd 3.64-3.70, 4 Pr 3.70
2 Nd 0.5000 0.5000 0.3294  4 Pr 3.64, 8 Nd 3.66-3.70
3 Nd 0.5000 0.5000 0.0000  8 Nd 3.61, 4 Mg 3.64
4 Nd 0.5000 0.5000 0.6706  4 Pr 3.64, 8 Nd 3.66-3.70
5 Nd 0.0000 0.5000 0.8377  8 Nd 3.61-3.66, 2 Mg 3.61, 2 Pr 3.66
6 Nd 0.5000 0.0000 0.8377  8 Nd 3.61-3.66, 2 Mg 3.61, 2 Pr 3.66
7 Nd 0.5000 0.0000 0.1623  2 Mg 3.61, 8 Nd 3.61-3.66, 2 Pr 3.66
8 Nd 0.5000 0.0000 0.5000  8 Nd 3.64-3.70, 4 Pr 3.70
9 Nd 0.0000 0.5000 0.1623  8 Nd 3.61-3.66, 2 Mg 3.61, 2 Pr 3.66
10 Pr 0.0000 0.0000 0.3294  12 Nd 3.64-3.70
11 Pr 0.0000 0.0000 0.6706  12 Nd 3.64-3.70
12 Mg 0.0000 0.0000 0.0000  12 Nd 3.61-3.64

The formation energy is 13 meV per atom. The volume comes out at 413.4 Å³/cell. Its crystal system is tetragonal. As for the total energy: -4.493 eV per atom.

***

(5)
The following is a DFT calculation (PBE) of a relaxed structure of PrNd2Mg5.

abc: 5.3112 5.3112 8.7334
angles: 107.70 107.70 90.00
Last column: nearest neighbours and their distance in Å.
Element x y z (fractional)
1 Mg 0.1182 0.6182 0.2363  2 Pr 3.24, 2 Mg 3.24, 4 Nd 3.27-3.49
2 Mg 0.6182 0.1182 0.2363  2 Pr 3.24, 2 Mg 3.24, 4 Nd 3.27-3.49
3 Mg 0.8818 0.3818 0.7637  2 Pr 3.24, 2 Mg 3.24, 4 Nd 3.27-3.49
4 Mg 0.3818 0.8818 0.7637  2 Mg 3.24, 2 Pr 3.24, 4 Nd 3.27-3.49
5 Mg 0.5000 0.5000 0.0000  8 Mg 3.24
6 Nd 0.2613 0.2613 0.5226  8 Mg 3.27-3.49
7 Nd 0.7387 0.7387 0.4774  8 Mg 3.27-3.49
8 Pr 0.0000 0.0000 0.0000  8 Mg 3.24

The formation energy is -101 meV per atom. The volume comes out at 222.4 Å³/cell. Its crystal system is tetragonal. As for the total energy: -2.887 eV per atom.

***

(6)
The following is a DFT calculation (PBE) of a relaxed structure of Pr2Nd2Mg.

abc: 3.7325 3.7325 12.3294
angles: 98.71 98.71 90.00
Last column: nearest neighbours and their distance in Å.
Element x y z (fractional)
1 Nd 0.1961 0.1961 0.3923  4 Pr 3.67, 8 Nd 3.70-3.73
2 Nd 0.8039 0.8039 0.6077  4 Pr 3.67, 8 Nd 3.70-3.73
3 Pr 0.4096 0.4096 0.8193  4 Mg 3.42, 4 Nd 3.67, 4 Pr 3.73
4 Pr 0.5904 0.5904 0.1807  4 Mg 3.42, 4 Nd 3.67, 4 Pr 3.73
5 Mg 0.0000 0.0000 0.0000  8 Pr 3.42, 4 Mg 3.73

Its energy above the most stable polymorph in this dataset is 0.000 eV per atom. The formation energy is -30 meV per atom. The volume comes out at 167.8 Å³/cell. Its crystal system is tetragonal. As for the total energy: -4.168 eV per atom.

***

(7)
The following is a DFT calculation (PBE) of a relaxed structure of PrNd2Mg9.

abc: 6.0878 6.0878 10.5630
angles: 73.25 73.25 60.00
Last column: nearest neighbours and their distance in Å.
Element x y z (fractional)
1 Mg 0.4150 0.4150 0.2503  7 Mg 3.02-3.07
2 Mg 0.9197 0.4150 0.2503  7 Mg 3.02-3.07
3 Mg 0.0803 0.5850 0.7497  7 Mg 3.02-3.07
4 Mg 0.6660 0.6660 0.0019  6 Mg 3.04-3.06
5 Mg 0.5850 0.5850 0.7497  7 Mg 3.02-3.07
6 Mg 0.5850 0.0803 0.7497  7 Mg 3.02-3.07
7 Mg 0.4150 0.9197 0.2503  7 Mg 3.02-3.07
8 Mg 0.5000 0.5000 0.5000  6 Mg 3.06
9 Mg 0.3340 0.3340 0.9981  6 Mg 3.04-3.06
10 Nd 0.1435 0.1435 0.5695  12 Mg 3.53-3.63, 3 Nd 3.78
11 Nd 0.8565 0.8565 0.4305  12 Mg 3.53-3.63, 3 Nd 3.78
12 Pr 0.0000 0.0000 0.0000  18 Mg 3.51-3.93

The formation energy is -74 meV per atom. The volume comes out at 319.7 Å³/cell. Its crystal system is trigonal. As for the total energy: -2.463 eV per atom.

***

(8)
The following is a DFT calculation (PBE) of a relaxed structure of PrNdMg.

abc: 5.7005 10.7278 6.2299
angles: 90.00 90.00 90.00
Last column: nearest neighbours and their distance in Å.
Element x y z (fractional)
1 Mg 0.7500 0.8434 0.6831  5 Nd 3.42-3.52, 5 Pr 3.49-3.69, 2 Mg 3.70
2 Mg 0.2500 0.3434 0.8169  5 Nd 3.42-3.52, 5 Pr 3.49-3.69, 2 Mg 3.70
3 Mg 0.2500 0.1566 0.3169  5 Nd 3.42-3.52, 5 Pr 3.49-3.69, 2 Mg 3.70
4 Mg 0.7500 0.6566 0.1831  5 Nd 3.42-3.52, 5 Pr 3.49-3.69, 2 Mg 3.70
5 Pr 0.2500 0.8136 0.3609  2 Pr 3.40, 5 Mg 3.49-3.69, 4 Nd 3.56-3.62
6 Pr 0.2500 0.6864 0.8609  2 Pr 3.40, 5 Mg 3.49-3.69, 4 Nd 3.56-3.62
7 Pr 0.7500 0.1864 0.6391  2 Pr 3.40, 5 Mg 3.49-3.69, 4 Nd 3.56-3.62
8 Pr 0.7500 0.3136 0.1391  2 Pr 3.40, 5 Mg 3.49-3.69, 4 Nd 3.56-3.62
9 Nd 0.7500 0.9825 0.1770  5 Mg 3.42-3.52, 4 Pr 3.56-3.62, 2 Nd 3.62
10 Nd 0.2500 0.4825 0.3230  5 Mg 3.42-3.52, 4 Pr 3.56-3.62, 2 Nd 3.62
11 Nd 0.2500 0.0175 0.8230  5 Mg 3.42-3.52, 4 Pr 3.56-3.62, 2 Nd 3.62
12 Nd 0.7500 0.5175 0.6770  5 Mg 3.42-3.52, 4 Pr 3.56-3.62, 2 Nd 3.62

Its energy above the most stable polymorph in this dataset is 0.072 eV per atom. The formation energy is 14 meV per atom. The volume comes out at 381.0 Å³/cell. Its crystal system is orthorhombic. As for the total energy: -3.700 eV per atom.

***

Please write out number 8 again, unchanged.
The following is a DFT calculation (PBE) of a relaxed structure of PrNdMg.

abc: 5.7005 10.7278 6.2299
angles: 90.00 90.00 90.00
Last column: nearest neighbours and their distance in Å.
Element x y z (fractional)
1 Mg 0.7500 0.8434 0.6831  5 Nd 3.42-3.52, 5 Pr 3.49-3.69, 2 Mg 3.70
2 Mg 0.2500 0.3434 0.8169  5 Nd 3.42-3.52, 5 Pr 3.49-3.69, 2 Mg 3.70
3 Mg 0.2500 0.1566 0.3169  5 Nd 3.42-3.52, 5 Pr 3.49-3.69, 2 Mg 3.70
4 Mg 0.7500 0.6566 0.1831  5 Nd 3.42-3.52, 5 Pr 3.49-3.69, 2 Mg 3.70
5 Pr 0.2500 0.8136 0.3609  2 Pr 3.40, 5 Mg 3.49-3.69, 4 Nd 3.56-3.62
6 Pr 0.2500 0.6864 0.8609  2 Pr 3.40, 5 Mg 3.49-3.69, 4 Nd 3.56-3.62
7 Pr 0.7500 0.1864 0.6391  2 Pr 3.40, 5 Mg 3.49-3.69, 4 Nd 3.56-3.62
8 Pr 0.7500 0.3136 0.1391  2 Pr 3.40, 5 Mg 3.49-3.69, 4 Nd 3.56-3.62
9 Nd 0.7500 0.9825 0.1770  5 Mg 3.42-3.52, 4 Pr 3.56-3.62, 2 Nd 3.62
10 Nd 0.2500 0.4825 0.3230  5 Mg 3.42-3.52, 4 Pr 3.56-3.62, 2 Nd 3.62
11 Nd 0.2500 0.0175 0.8230  5 Mg 3.42-3.52, 4 Pr 3.56-3.62, 2 Nd 3.62
12 Nd 0.7500 0.5175 0.6770  5 Mg 3.42-3.52, 4 Pr 3.56-3.62, 2 Nd 3.62

Its energy above the most stable polymorph in this dataset is 0.072 eV per atom. The formation energy is 14 meV per atom. The volume comes out at 381.0 Å³/cell. Its crystal system is orthorhombic. As for the total energy: -3.700 eV per atom.

***

Question: Which of these has the lowest volume?
Answer: Pr2Nd2Mg

***

Question: What is the volume in the fifth record?
Answer: 222.4 Å³/cell